Below is a relaxed B2MoAu crystal, with properties calculated at the PBE-GGA level.

The structure belongs to space group I-42d (No. 122); the cell edges are 5.872, 5.872 and 5.848 Å and the angles 90.00°, 90.00° and 90.00°. The distinct sites, in fractional coordinates, are B at (0.248, 0.250, 0.125), Mo at (0.000, 0.000, 0.000) and Au at (0.000, 0.000, 0.500).

For the energy above the most stable polymorph in this dataset, the calculation gives 0 meV/atom. The total magnetization is 0.00 μB per cell. The formation energy comes out at 705 meV per atom.


Below is a relaxed Lu2ScTl crystal, with properties calculated at the PBE-GGA level.

The structure belongs to space group P4/mmm (No. 123); the cell edges are 4.700, 4.700 and 4.655 Å and the angles 90.00°, 90.00° and 90.00°. The distinct sites, in fractional coordinates, are Lu at (0.000, 0.500, 0.000), Sc at (0.000, 0.000, 0.500) and Tl at (0.500, 0.500, 0.500).

For the energy above the most stable polymorph in this dataset, the calculation gives 3 meV/atom. The total magnetization is 1.16 μB per cell. The formation energy comes out at -151 meV per atom.